[1]
Density functional theory data (PBE) for a relaxed FeHgMo2 crystal.

The structure in CIF format:
```
data_FeHgMo2
_space_group_name_H-M_alt 'P 4/m m m'
_space_group_IT_number 123
_space_group_name_Hall '-P 4 2'
_cell_length_a 3.2890
_cell_length_b 3.2890
_cell_length_c 6.0441
_cell_angle_alpha 90.00
_cell_angle_beta 90.00
_cell_angle_gamma 90.00
loop_
_atom_site_label
_atom_site_fract_x
_atom_site_fract_y
_atom_site_fract_z
Fe1 0.0000 0.0000 0.0000
Hg1 0.0000 0.0000 0.5000
Mo1 0.5000 0.5000 0.1977
```

Output
D(E_F), states/eV per cell: 3.6

=====

[2]
Density functional theory data (PBE) for a relaxed FeHg2Mo crystal.

The structure in CIF format:
```
data_FeHg2Mo
_space_group_name_H-M_alt 'C 1 2/m 1'
_space_group_IT_number 12
_cell_length_a 9.5126
_cell_length_b 2.8478
_cell_length_c 5.3208
_cell_angle_alpha 90.00
_cell_angle_beta 99.51
_cell_angle_gamma 90.00
loop_
_space_group_symop_operation_xyz
'x,y,z'
'-x,-y,-z'
'-x,y,-z'
'x,-y,z'
'x+1/2,y+1/2,z'
'-x+1/2,-y+1/2,-z'
'-x+1/2,y+1/2,-z'
'x+1/2,-y+1/2,z'
loop_
_atom_site_label
_atom_site_fract_x
_atom_site_fract_y
_atom_site_fract_z
Fe1 0.0000 0.0000 0.0000
Hg1 0.2464 0.5000 0.2454
Mo1 0.0000 0.5000 0.5000
```

Output
D(E_F), states/eV per cell: 7.9
Excess energy over the best structure of this formula in the dataset, meV per atom: 304

=====

[3]
Density functional theory data (PBE) for a relaxed FeHgMo2 crystal.

The structure in CIF format:
```
data_FeHgMo2
_space_group_name_H-M_alt 'P 4 m m'
_space_group_IT_number 99
_cell_length_a 2.8305
_cell_length_b 2.8305
_cell_length_c 7.9189
_cell_angle_alpha 90.00
_cell_angle_beta 90.00
_cell_angle_gamma 90.00
loop_
_space_group_symop_operation_xyz
'x,y,z'
'-y,x,z'
'-x,-y,z'
'y,-x,z'
'-x,y,z'
'y,x,z'
'x,-y,z'
'-y,-x,z'
loop_
_atom_site_label
_atom_site_fract_x
_atom_site_fract_y
_atom_site_fract_z
Fe1 0.0000 0.0000 0.0000
Hg1 0.5000 0.5000 0.2585
Mo1 0.0000 0.0000 0.5458
Mo2 0.5000 0.5000 0.8189
```

Output
D(E_F), states/eV per cell: 2.9

=====

[4]
Density functional theory data (PBE) for a relaxed FeHgMo2 crystal.

The structure in CIF format:
```
data_FeHgMo2
_space_group_name_H-M_alt 'F -4 3 m'
_space_group_IT_number 216
_space_group_name_Hall 'F -4 2 3'
_cell_length_a 6.3704
_cell_length_b 6.3704
_cell_length_c 6.3704
_cell_angle_alpha 90.00
_cell_angle_beta 90.00
_cell_angle_gamma 90.00
loop_
_atom_site_label
_atom_site_fract_x
_atom_site_fract_y
_atom_site_fract_z
Fe1 0.0000 0.0000 0.0000
Hg1 0.2500 0.2500 0.7500
Mo1 0.0000 0.0000 0.5000
Mo2 0.2500 0.2500 0.2500
```

Output
D(E_F), states/eV per cell: 20.0

=====

[5]
Density functional theory data (PBE) for a relaxed FeHg2Mo crystal.

The structure in CIF format:
```
data_FeHg2Mo
_space_group_name_H-M_alt 'P 4 m m'
_space_group_IT_number 99
_cell_length_a 2.9599
_cell_length_b 2.9599
_cell_length_c 8.0719
_cell_angle_alpha 90.00
_cell_angle_beta 90.00
_cell_angle_gamma 90.00
loop_
_space_group_symop_operation_xyz
'x,y,z'
'-y,x,z'
'-x,-y,z'
'y,-x,z'
'-x,y,z'
'y,x,z'
'x,-y,z'
'-y,-x,z'
loop_
_atom_site_label
_atom_site_fract_x
_atom_site_fract_y
_atom_site_fract_z
Fe1 0.0000 0.0000 0.0000
Hg1 0.0000 0.0000 0.5634
Hg2 0.5000 0.5000 0.2450
Mo1 0.5000 0.5000 0.8392
```

Output
D(E_F), states/eV per cell: 2.4
Excess energy over the best structure of this formula in the dataset, meV per atom: 0

=====

[6]
Density functional theory data (PBE) for a relaxed Fe2HgMo2 crystal.

The structure in CIF format:
```
data_Fe2HgMo2
_space_group_name_H-M_alt 'P 4/m b m'
_space_group_IT_number 127
_space_group_name_Hall '-P 4 2ab'
_cell_length_a 7.2335
_cell_length_b 7.2335
_cell_length_c 2.7910
_cell_angle_alpha 90.00
_cell_angle_beta 90.00
_cell_angle_gamma 90.00
loop_
_atom_site_label
_atom_site_fract_x
_atom_site_fract_y
_atom_site_fract_z
Fe1 0.1268 0.3732 0.0000
Hg1 0.0000 0.0000 0.0000
Mo1 0.1621 0.6621 0.5000
```

Output
D(E_F), states/eV per cell: 7.0

=====

Q: Which energy relative to the elements values were calculated for the entries above? A: 0.391; 0.669; 0.419; 0.606; 0.365; 0.307, in eV per atom.